## Sm8Si2Ni (PBE-GGA)

Data for an optimized crystal structure of Sm8Si2Ni.

Lattice parameters (Å, degrees): 4.7333 6.8978 9.7077 102.40 104.11 90.00
Last column: nearest neighbours and their distance in Å.
Sites, in units of the cell vectors:
1 Sm 0.4046 0.5176 0.8092  2 Si 3.21, 1 Ni 3.41, 4 Sm 3.46-3.49
2 Sm 0.6545 0.9960 0.3090  1 Ni 2.92, 3 Si 3.03-3.19
3 Sm 0.7833 0.6722 0.5665  3 Si 3.11-3.16, 4 Sm 3.32-3.39
4 Sm 0.9802 0.2137 0.9604  2 Ni 2.86, 1 Si 3.12, 1 Sm 3.20
5 Sm 0.2167 0.3278 0.4335  3 Si 3.11-3.16, 4 Sm 3.32-3.39
6 Sm 0.3455 0.0040 0.6910  1 Ni 2.92, 3 Si 3.03-3.19
7 Sm 0.5954 0.4824 0.1908  2 Si 3.21, 1 Ni 3.41, 4 Sm 3.46-3.49
8 Sm 0.0198 0.7863 0.0396  2 Ni 2.86, 1 Si 3.12, 1 Sm 3.20
9 Si 0.8180 0.2514 0.6359  9 Sm 3.03-3.21
10 Si 0.1820 0.7486 0.3641  9 Sm 3.03-3.21
11 Ni 0.5000 0.0000 0.0000  6 Sm 2.86-2.92

Density of states at the Fermi level, states/eV/cell: 9.8
Size of the total moment, μB/atom: 0.0000
Calculated total energy, eV/atom: -5.235

## PmVRh2 (PBE-GGA)

Data for an optimized crystal structure of PmVRh2.

Lattice parameters (Å, degrees): 3.5761 4.4806 4.4806 90.00 90.00 90.00
Last column: nearest neighbours and their distance in Å.
Sites, in units of the cell vectors:
1 V 0.5000 0.0000 0.0000  8 Rh 2.87, 4 Pm 3.17
2 Rh 0.0000 0.0000 0.5000  4 V 2.87, 4 Pm 2.87, 4 Rh 3.17
3 Rh 0.0000 0.5000 0.0000  4 Pm 2.87, 4 V 2.87, 4 Rh 3.17
4 Pm 0.5000 0.5000 0.5000  8 Rh 2.87, 4 V 3.17

ΔE_f, meV/atom: -220
Density of states at the Fermi level, states/eV/cell: 6.4
Offset from the most stable computed form, meV per atom: 166
Size of the total moment, μB/atom: 0.6174
Calculated total energy, eV/atom: -7.363

## Bi2H2Pb (PBE-GGA)

Data for an optimized crystal structure of Bi2H2Pb.

Lattice parameters (Å, degrees): 3.9360 3.9360 7.1527 74.03 74.03 90.00
Last column: nearest neighbours and their distance in Å.
Sites, in units of the cell vectors:
1 Pb 0.0000 0.0000 0.0000  8 Bi 3.37
2 H 0.7500 0.2500 0.5000  4 Bi 2.41
3 H 0.2500 0.7500 0.5000  4 Bi 2.41
4 Bi 0.3557 0.3557 0.2885  4 H 2.41
5 Bi 0.6443 0.6443 0.7115  4 H 2.41

Density of states at the Fermi level, states/eV/cell: 2.1
Offset from the most stable computed form, meV per atom: 327
Size of the total moment, μB/atom: 0.0000
Calculated total energy, eV/atom: -3.189

## TiGa2Pd3 (PBE-GGA)

Data for an optimized crystal structure of TiGa2Pd3.

Lattice parameters (Å, degrees): 4.5960 5.7407 7.8412 111.47 107.04 90.00
Last column: nearest neighbours and their distance in Å.
Sites, in units of the cell vectors:
1 Ti 0.0000 0.5000 0.0000  8 Pd 2.71-2.81, 2 Ti 2.87
2 Ti 0.0000 0.0000 0.0000  8 Pd 2.71-2.81, 2 Ti 2.87
3 Ga 0.3408 0.3407 0.6814  8 Pd 2.63-2.72, 2 Ga 2.87
4 Ga 0.6594 0.1593 0.3186  8 Pd 2.63-2.72, 2 Ga 2.87
5 Ga 0.3406 0.8407 0.6814  8 Pd 2.63-2.72, 2 Ga 2.87
6 Ga 0.6592 0.6593 0.3186  8 Pd 2.63-2.72, 2 Ga 2.87
7 Pd 0.5000 0.2500 0.0000  4 Ga 2.63, 4 Ti 2.71, 2 Pd 2.87
8 Pd 0.5000 0.7500 0.0000  4 Ga 2.63, 4 Ti 2.71, 2 Pd 2.87
9 Pd 0.8254 0.0754 0.6509  6 Ga 2.71-2.72, 2 Ti 2.81, 2 Pd 2.87
10 Pd 0.1746 0.4246 0.3491  6 Ga 2.71-2.72, 2 Ti 2.81, 2 Pd 2.87
11 Pd 0.1746 0.9246 0.3491  6 Ga 2.71-2.72, 2 Ti 2.81, 2 Pd 2.87
12 Pd 0.8254 0.5754 0.6509  6 Ga 2.71-2.72, 2 Ti 2.81, 2 Pd 2.87

ΔE_f, meV/atom: -553
Density of states at the Fermi level, states/eV/cell: 6.9
Offset from the most stable computed form, meV per atom: 59
Size of the total moment, μB/atom: 0.0000
Calculated total energy, eV/atom: -5.474

## TcRu2Br (PBE-GGA)

Data for an optimized crystal structure of TcRu2Br.

Lattice parameters (Å, degrees): 4.4218 4.4218 4.4218 60.00 60.00 60.00
Last column: nearest neighbours and their distance in Å.
Sites, in units of the cell vectors:
1 Ru 0.0000 0.0000 0.0000  4 Ru 2.71, 4 Tc 2.71
2 Ru 0.2500 0.2500 0.2500  4 Br 2.71, 4 Ru 2.71
3 Tc 0.7500 0.7500 0.7500  4 Ru 2.71, 4 Br 2.71
4 Br 0.5000 0.5000 0.5000  4 Tc 2.71, 4 Ru 2.71

Density of states at the Fermi level, states/eV/cell: 5.2
Offset from the most stable computed form, meV per atom: 449
Size of the total moment, μB/atom: 0.0007
Calculated total energy, eV/atom: -6.659

## Sm4OsSeBr2 (PBE-GGA)

Data for an optimized crystal structure of Sm4OsSeBr2.

Lattice parameters (Å, degrees): 4.0893 7.5726 7.7684 106.85 90.00 90.00
Last column: nearest neighbours and their distance in Å.
Sites, in units of the cell vectors:
1 Sm 0.5000 0.2575 0.2022  1 Os 2.74, 2 Se 2.95
2 Sm 0.5000 0.7425 0.7978  1 Os 2.74, 2 Se 2.95
3 Sm 0.0000 0.2898 0.8015  2 Os 2.77, 1 Se 3.03
4 Sm 0.0000 0.7102 0.1985  2 Os 2.77, 1 Se 3.03
5 Os 0.5000 0.5000 0.0000  6 Sm 2.74-2.77
6 Se 0.0000 0.0000 0.0000  6 Sm 2.95-3.03
7 Br 0.5000 0.0000 0.5000  6 Sm 3.39-3.43
8 Br 0.0000 0.5000 0.5000  6 Sm 3.19-3.23

Density of states at the Fermi level, states/eV/cell: 5.8
Size of the total moment, μB/atom: 0.0000
Calculated total energy, eV/atom: -5.711

## Ce2TaN3 (PBE-GGA)

Data for an optimized crystal structure of Ce2TaN3.

Lattice parameters (Å, degrees): 3.4331 4.0313 6.9868 106.77 104.22 90.00
Last column: nearest neighbours and their distance in Å.
Sites, in units of the cell vectors:
1 Ce 0.6524 0.6524 0.3048  3 N 2.37-2.61
2 Ce 0.3476 0.3476 0.6952  3 N 2.37-2.61
3 Ta 0.0000 0.0000 0.0000  4 N 2.02-2.13
4 N 0.0000 0.5000 0.0000  2 Ta 2.02
5 N 0.8355 0.8355 0.6709  1 Ta 2.13, 1 Ce 2.37
6 N 0.1645 0.1645 0.3291  1 Ta 2.13, 1 Ce 2.37

Density of states at the Fermi level, states/eV/cell: 6.3
Offset from the most stable computed form, meV per atom: 0
Size of the total moment, μB/atom: 0.0002
Calculated total energy, eV/atom: -9.477

## HfCS3 (PBE-GGA)

Data for an optimized crystal structure of HfCS3.

Lattice parameters (Å, degrees): 4.9034 4.9034 4.9034 90.00 90.00 90.00
Last column: nearest neighbours and their distance in Å.
Sites, in units of the cell vectors:
1 S 0.0000 0.5000 0.0000  2 Hf 2.45
2 S 0.0000 0.0000 0.5000  2 Hf 2.45
3 S 0.5000 0.0000 0.0000  2 Hf 2.45
4 Hf 0.0000 0.0000 0.0000  6 S 2.45
5 C 0.5000 0.5000 0.5000  12 S 3.47

Density of states at the Fermi level, states/eV/cell: 7.6
Offset from the most stable computed form, meV per atom: 612
Size of the total moment, μB/atom: 0.0000
Calculated total energy, eV/atom: -5.274